# 1
Ag2OsCl | PBE-GGA | relaxed

abc: 5.419 5.419 5.419
angles: 138.01 138.01 60.89
Atoms (fractional coordinates):
Ag  0.250  0.750  0.500
Ag  0.750  0.250  0.500
Os  0.000  0.000  0.000
Cl  0.500  0.500  0.000

Energy relative to the elements, uncorrected   1172 meV/atom
DOS(E_F)   1.162 states/eV per atom
Crystal system   tetragonal
Energy relative to the lowest polymorph listed for this composition   666 meV/atom
SG   No. 139

***

# 2
Ag2OsCl8 | PBE-GGA | relaxed

abc: 7.583 7.583 8.274
angles: 96.13 96.13 48.30
Atoms (fractional coordinates):
Ag  0.166  0.166  0.423
Ag  0.834  0.834  0.577
Os  0.000  0.000  0.000
Cl  0.001  0.001  0.713
Cl  0.134  0.627  0.977
Cl  0.326  0.326  0.562
Cl  0.373  0.866  0.023
Cl  0.627  0.134  0.977
Cl  0.674  0.674  0.438
Cl  0.866  0.373  0.023
Cl  0.999  0.999  0.287

Energy relative to the elements, uncorrected   -324 meV/atom
DOS(E_F)   0.574 states/eV per atom
Crystal system   monoclinic
SG   No. 12

***

# 3
Ag2OsCl5 | PBE-GGA | relaxed

abc: 4.641 7.215 7.310
angles: 84.17 72.10 73.63
Atoms (fractional coordinates):
Ag  0.000  0.000  0.000
Ag  0.127  0.359  0.437
Os  0.770  0.885  0.544
Cl  0.231  0.952  0.564
Cl  0.546  0.064  0.843
Cl  0.731  0.186  0.354
Cl  0.814  0.595  0.719
Cl  0.986  0.712  0.256

Energy relative to the elements, uncorrected   -286 meV/atom
DOS(E_F)   0.648 states/eV per atom
Crystal system   triclinic
SG   No. 1

***

# 4
AgOs2Cl | PBE-GGA | relaxed

abc: 4.484 4.484 4.484
angles: 60.00 60.00 60.00
Atoms (fractional coordinates):
Ag  0.000  0.000  0.000
Os  0.250  0.250  0.250
Os  0.500  0.500  0.500
Cl  0.750  0.750  0.750

Energy relative to the elements, uncorrected   1265 meV/atom
DOS(E_F)   0.792 states/eV per atom
Crystal system   cubic
Energy relative to the lowest polymorph listed for this composition   920 meV/atom
SG   No. 216

***

# 5
Ag2OsCl | PBE-GGA | relaxed

abc: 2.941 2.941 9.674
angles: 90.00 90.00 122.15
Atoms (fractional coordinates):
Ag  0.000  0.000  0.000
Ag  0.500  0.500  0.256
Os  0.500  0.500  0.752
Cl  0.000  0.000  0.553

Energy relative to the elements, uncorrected   559 meV/atom
DOS(E_F)   0.668 states/eV per atom
Crystal system   orthorhombic
Energy relative to the lowest polymorph listed for this composition   52 meV/atom
SG   No. 35

***

# 6
Ag2OsCl | PBE-GGA | relaxed

abc: 5.213 5.213 2.695
angles: 90.00 90.00 90.00
Atoms (fractional coordinates):
Ag  0.000  0.500  0.000
Ag  0.500  0.000  0.000
Os  0.000  0.000  0.500
Cl  0.500  0.500  0.500

Energy relative to the elements, uncorrected   892 meV/atom
DOS(E_F)   0.728 states/eV per atom
Crystal system   tetragonal
Energy relative to the lowest polymorph listed for this composition   386 meV/atom
SG   No. 123

***

# 7
AgOsCl | PBE-GGA | relaxed

abc: 4.511 4.511 2.805
angles: 90.00 90.00 120.00
Atoms (fractional coordinates):
Ag  0.000  0.000  0.000
Os  0.333  0.667  0.500
Cl  0.667  0.333  0.500

Energy relative to the elements, uncorrected   1099 meV/atom
DOS(E_F)   1.134 states/eV per atom
Crystal system   hexagonal
Energy relative to the lowest polymorph listed for this composition   350 meV/atom
SG   No. 187

***

# 8
Ag2OsCl | PBE-GGA | relaxed

abc: 6.857 6.857 6.857
angles: 156.16 140.32 46.82
Atoms (fractional coordinates):
Ag  0.000  0.000  0.000
Ag  0.641  0.141  0.500
Os  0.449  0.449  0.000
Cl  0.299  0.799  0.500

Energy relative to the elements, uncorrected   595 meV/atom
DOS(E_F)   0.885 states/eV per atom
Crystal system   orthorhombic
Energy relative to the lowest polymorph listed for this composition   88 meV/atom
SG   No. 44

***

# 9
AgOsCl4 | PBE-GGA | relaxed

abc: 5.819 5.819 5.819
angles: 60.00 60.00 60.00
Atoms (fractional coordinates):
Ag  0.000  0.000  0.000
Os  0.250  0.250  0.250
Cl  0.126  0.625  0.625
Cl  0.625  0.126  0.625
Cl  0.625  0.625  0.126
Cl  0.625  0.625  0.625

Energy relative to the elements, uncorrected   1466 meV/atom
DOS(E_F)   1.320 states/eV per atom
Crystal system   cubic
Energy relative to the lowest polymorph listed for this composition   1600 meV/atom
SG   No. 216

***

# 10
AgOs2Cl | PBE-GGA | relaxed

abc: 2.867 2.867 9.336
angles: 90.00 90.00 121.16
Atoms (fractional coordinates):
Ag  0.000  0.000  0.000
Os  0.000  0.000  0.502
Os  0.500  0.500  0.731
Cl  0.500  0.500  0.275

Energy relative to the elements, uncorrected   701 meV/atom
DOS(E_F)   1.057 states/eV per atom
Crystal system   orthorhombic
Energy relative to the lowest polymorph listed for this composition   356 meV/atom
SG   No. 35

***

# 11
Ag2OsCl | PBE-GGA | relaxed

abc: 9.174 9.174 9.174
angles: 18.45 18.45 18.45
Atoms (fractional coordinates):
Ag  0.249  0.249  0.249
Ag  0.751  0.751  0.751
Os  0.000  0.000  0.000
Cl  0.500  0.500  0.500

Energy relative to the elements, uncorrected   507 meV/atom
DOS(E_F)   0.819 states/eV per atom
Crystal system   trigonal
Energy relative to the lowest polymorph listed for this composition   0 meV/atom
SG   No. 166

***

# 12
AgOs2Cl | PBE-GGA | relaxed

abc: 5.571 5.571 2.722
angles: 90.00 90.00 126.02
Atoms (fractional coordinates):
Ag  0.000  0.000  0.000
Os  0.000  0.500  0.500
Os  0.500  0.000  0.500
Cl  0.500  0.500  0.000

Energy relative to the elements, uncorrected   1476 meV/atom
DOS(E_F)   1.207 states/eV per atom
Crystal system   orthorhombic
Energy relative to the lowest polymorph listed for this composition   1131 meV/atom
SG   No. 65

***

# 13
AgOs4Cl | PBE-GGA | relaxed

abc: 5.254 5.254 5.254
angles: 60.00 60.00 60.00
Atoms (fractional coordinates):
Ag  0.000  0.000  0.000
Os  0.375  0.375  0.375
Os  0.375  0.375  0.875
Os  0.375  0.875  0.375
Os  0.875  0.375  0.375
Cl  0.750  0.750  0.750

Energy relative to the elements, uncorrected   1442 meV/atom
DOS(E_F)   1.896 states/eV per atom
Crystal system   cubic
SG   No. 216

***

# 14
Ag2OsCl | PBE-GGA | relaxed

abc: 5.959 5.959 5.959
angles: 101.50 101.50 126.95
Atoms (fractional coordinates):
Ag  0.123  0.625  0.998
Ag  0.375  0.373  0.498
Ag  0.627  0.125  0.002
Ag  0.875  0.877  0.502
Os  0.250  0.750  0.500
Os  0.500  0.500  0.000
Cl  0.000  0.000  0.000
Cl  0.750  0.250  0.500

Energy relative to the elements, uncorrected   1122 meV/atom
DOS(E_F)   1.156 states/eV per atom
Crystal system   tetragonal
Energy relative to the lowest polymorph listed for this composition   615 meV/atom
SG   No. 122

***

# 15
AgP2OsCl | PBE-GGA | relaxed

abc: 4.492 4.492 5.409
angles: 90.00 90.00 90.00
Atoms (fractional coordinates):
Ag  0.000  0.000  0.000
P  0.000  0.500  0.500
P  0.500  0.000  0.500
Os  0.500  0.500  0.500
Cl  0.500  0.500  0.000

Energy relative to the elements, uncorrected   534 meV/atom
DOS(E_F)   0.951 states/eV per atom
Crystal system   tetragonal
Energy relative to the lowest polymorph listed for this composition   0 meV/atom
SG   No. 123

***

# 16
AgP2OsCl | PBE-GGA | relaxed

abc: 4.793 4.793 4.741
angles: 90.00 90.00 90.00
Atoms (fractional coordinates):
Ag  0.000  0.000  0.000
P  0.000  0.500  0.000
P  0.500  0.000  0.000
Os  0.500  0.500  0.500
Cl  0.000  0.000  0.500

Energy relative to the elements, uncorrected   1806 meV/atom
DOS(E_F)   0.873 states/eV per atom
Crystal system   tetragonal
Energy relative to the lowest polymorph listed for this composition   1272 meV/atom
SG   No. 123

***

# 17
Ag2OsPbCl8 | PBE-GGA | relaxed

abc: 6.302 6.973 8.112
angles: 90.41 90.11 109.92
Atoms (fractional coordinates):
Ag  0.003  0.002  0.242
Ag  0.997  0.998  0.758
Os  0.000  0.500  0.500
Pb  0.000  0.500  0.000
Cl  0.186  0.262  0.498
Cl  0.245  0.697  0.298
Cl  0.247  0.223  0.997
Cl  0.247  0.696  0.706
Cl  0.753  0.304  0.294
Cl  0.753  0.777  0.003
Cl  0.755  0.303  0.702
Cl  0.814  0.738  0.502

Energy relative to the elements, uncorrected   -587 meV/atom
DOS(E_F)   0.382 states/eV per atom
Crystal system   triclinic
SG   No. 2

***

# 18
AgOsPdCl2 | PBE-GGA | relaxed

abc: 4.747 4.747 5.436
angles: 90.00 90.00 90.00
Atoms (fractional coordinates):
Ag  0.000  0.000  0.000
Os  0.500  0.500  0.500
Pd  0.000  0.000  0.500
Cl  0.000  0.500  0.000
Cl  0.500  0.000  0.000

Energy relative to the elements, uncorrected   1395 meV/atom
DOS(E_F)   0.534 states/eV per atom
Crystal system   tetragonal
SG   No. 123

***

# 19
Pr6AgOs2Cl3 | PBE-GGA | relaxed

abc: 7.290 7.290 8.033
angles: 98.48 98.48 120.23
Atoms (fractional coordinates):
Pr  0.070  0.432  0.791
Pr  0.205  0.205  0.209
Pr  0.432  0.070  0.791
Pr  0.568  0.930  0.209
Pr  0.795  0.795  0.791
Pr  0.930  0.568  0.209
Ag  0.500  0.500  0.000
Os  0.166  0.834  0.000
Os  0.834  0.166  0.000
Cl  0.000  0.000  0.500
Cl  0.325  0.675  0.500
Cl  0.675  0.325  0.500

Energy relative to the elements, uncorrected   -828 meV/atom
DOS(E_F)   0.339 states/eV per atom
Crystal system   monoclinic
SG   No. 12

***

# 20
RbAgOsCl6 | PBE-GGA | relaxed

abc: 6.856 6.856 7.001
angles: 90.00 90.00 120.00
Atoms (fractional coordinates):
Rb  0.000  0.000  0.000
Ag  0.333  0.667  0.500
Os  0.667  0.333  0.500
Cl  0.392  0.046  0.692
Cl  0.392  0.346  0.308
Cl  0.654  0.046  0.308
Cl  0.654  0.608  0.692
Cl  0.954  0.346  0.692
Cl  0.954  0.608  0.308

Energy relative to the elements, uncorrected   -777 meV/atom
DOS(E_F)   0.632 states/eV per atom
Crystal system   trigonal
SG   No. 149

***

# 21
AgOsRu2Cl | PBE-GGA | relaxed

abc: 4.331 4.331 4.591
angles: 90.00 90.00 90.00
Atoms (fractional coordinates):
Ag  0.000  0.000  0.000
Os  0.500  0.500  0.000
Ru  0.000  0.500  0.500
Ru  0.500  0.000  0.500
Cl  0.000  0.000  0.500

Energy relative to the elements, uncorrected   1740 meV/atom
DOS(E_F)   1.451 states/eV per atom
Crystal system   tetragonal
Energy relative to the lowest polymorph listed for this composition   331 meV/atom
SG   No. 123

***

# 22
AgOsRu2Cl | PBE-GGA | relaxed

abc: 5.004 5.004 4.484
angles: 90.00 90.00 90.00
Atoms (fractional coordinates):
Ag  0.000  0.000  0.000
Os  0.500  0.500  0.500
Ru  0.000  0.500  0.000
Ru  0.500  0.000  0.000
Cl  0.000  0.000  0.500

Energy relative to the elements, uncorrected   2576 meV/atom
DOS(E_F)   1.022 states/eV per atom
Crystal system   tetragonal
Energy relative to the lowest polymorph listed for this composition   1167 meV/atom
SG   No. 123

***

# 23
AgOsRu2Cl | PBE-GGA | relaxed

abc: 4.357 4.357 4.370
angles: 90.00 90.00 90.00
Atoms (fractional coordinates):
Ag  0.000  0.000  0.000
Os  0.500  0.500  0.000
Ru  0.000  0.500  0.500
Ru  0.500  0.000  0.500
Cl  0.500  0.500  0.500

Energy relative to the elements, uncorrected   1409 meV/atom
DOS(E_F)   1.553 states/eV per atom
Crystal system   tetragonal
Energy relative to the lowest polymorph listed for this composition   0 meV/atom
SG   No. 123

***

# 24
AgOsSCl2 | PBE-GGA | relaxed

abc: 5.059 5.059 4.364
angles: 90.00 90.00 90.00
Atoms (fractional coordinates):
Ag  0.000  0.000  0.000
Os  0.500  0.500  0.500
S  0.500  0.500  0.000
Cl  0.000  0.500  0.500
Cl  0.500  0.000  0.500

Energy relative to the elements, uncorrected   277 meV/atom
DOS(E_F)   0.461 states/eV per atom
Crystal system   tetragonal
Energy relative to the lowest polymorph listed for this composition   0 meV/atom
SG   No. 123

***

# 25
AgOsSCl2 | PBE-GGA | relaxed

abc: 4.847 4.847 5.073
angles: 90.00 90.00 90.00
Atoms (fractional coordinates):
Ag  0.000  0.000  0.000
Os  0.500  0.500  0.500
S  0.000  0.000  0.500
Cl  0.000  0.500  0.000
Cl  0.500  0.000  0.000

Energy relative to the elements, uncorrected   1332 meV/atom
DOS(E_F)   0.962 states/eV per atom
Crystal system   tetragonal
Energy relative to the lowest polymorph listed for this composition   1056 meV/atom
SG   No. 123

***

# 26
SrAg2OsCl | PBE-GGA | relaxed

abc: 5.323 5.323 4.470
angles: 90.00 90.00 90.00
Atoms (fractional coordinates):
Sr  0.000  0.000  0.000
Ag  0.000  0.500  0.500
Ag  0.500  0.000  0.500
Os  0.500  0.500  0.500
Cl  0.500  0.500  0.000

Energy relative to the elements, uncorrected   342 meV/atom
DOS(E_F)   0.678 states/eV per atom
Crystal system   tetragonal
SG   No. 123

***

# 27
TiAgOsCl2 | PBE-GGA | relaxed

abc: 4.594 4.594 5.489
angles: 90.00 90.00 90.00
Atoms (fractional coordinates):
Ti  0.000  0.000  0.000
Ag  0.500  0.500  0.500
Os  0.500  0.500  0.000
Cl  0.000  0.500  0.500
Cl  0.500  0.000  0.500

Energy relative to the elements, uncorrected   1397 meV/atom
DOS(E_F)   1.684 states/eV per atom
Crystal system   tetragonal
SG   No. 123

***

# 28
Ti2AgOsCl | PBE-GGA | relaxed

abc: 4.755 4.755 4.930
angles: 90.00 90.00 90.00
Atoms (fractional coordinates):
Ti  0.000  0.500  0.000
Ti  0.500  0.000  0.000
Ag  0.000  0.000  0.500
Os  0.500  0.500  0.000
Cl  0.500  0.500  0.500

Energy relative to the elements, uncorrected   717 meV/atom
DOS(E_F)   1.138 states/eV per atom
Crystal system   tetragonal
SG   No. 123

***

Calculated VASP energy (eV/atom), listed in the same order as above: -3.522, -3.206, -3.557, -5.524, -4.136, -3.802, -4.210, -4.100, -2.112, -6.089, -4.188, -5.313, -6.827, -3.573, -4.815, -3.543, -3.538, -3.198, -5.789, -3.680, -5.156, -4.320, -5.487, -4.104, -3.048, -3.750, -3.737, -5.626